VASP calculation (GGA-PBE) on a relaxed Ac4Tl3Cd crystal.

## Properties
Volume: 35.06 Å³/atom
Energy of formation from the pure elements: -259 kJ/mol of formula units
Total magnetic moment: 0.00 μB per formula unit
N(E_F): 1.4610 states/eV/atom
E above lowest polymorph: 0.00 eV/f.u.
Space group: No. 139

abc: 5.795 5.795 9.303
angles: 108.16 108.15 90.00
Fractional positions:
1 Ac 0.376 0.376 0.752
2 Ac 0.124 0.124 0.248
3 Ac 0.624 0.624 0.248
4 Ac 0.876 0.876 0.752
5 Tl 0.252 0.752 0.504
6 Tl 0.748 0.248 0.496
7 Tl 0.000 0.500 0.000
8 Cd 0.500 0.000 0.000